First-principles (GGA-PBE) data for a geometry-optimized ZrAgHRh2 structure, as listed in Alexandria.

Cell: 4.0936 4.0936 4.0693 Å, 90.00 90.00 90.00°
Last column: nearest neighbours and their distance in Å.
Atoms (fractional coordinates):
Zr (0.0000, 0.0000, 0.0000)  2 H 2.03
Ag (0.5000, 0.5000, 0.0000)  8 Rh 2.89, 4 Zr 2.89
H (0.0000, 0.0000, 0.5000)  2 Zr 2.03, 4 Rh 2.05
Rh (0.0000, 0.5000, 0.5000)  2 H 2.05
Rh (0.5000, 0.0000, 0.5000)  2 H 2.05

Computed properties:
As for the symmetry: P4/mmm (123). Its energy above the most stable polymorph in this dataset is 2 meV/atom.